(1)
A plane-wave DFT calculation with GGA-PBE was carried out for a relaxed La2TbPdSe5 crystal.

```
data_La2TbPdSe5
_chemical_formula_sum 'La8 Tb4 Pd4 Se20'
_symmetry_space_group_name_H-M 'C m c 21'
_symmetry_Int_Tables_number 36
_symmetry_space_group_name_Hall 'C 2c -2'
_cell_length_a 4.068
_cell_length_b 17.630
_cell_length_c 12.636
_cell_angle_alpha 90.00
_cell_angle_beta 90.00
_cell_angle_gamma 90.00
loop_
_atom_site_label
_atom_site_type_symbol
_atom_site_fract_x
_atom_site_fract_y
_atom_site_fract_z
La1 La 0.000 0.110 0.000
La2 La 0.000 0.125 0.350
Tb1 Tb 0.000 0.176 0.676
Pd1 Pd 0.000 0.444 0.078
Se1 Se 0.000 0.013 0.679
Se2 Se 0.000 0.304 0.011
Se3 Se 0.000 0.307 0.339
Se4 Se 0.000 0.341 0.671
Se5 Se 0.000 0.500 0.395
```

Results
Its uncorrected formation energy is -15.1 eV per formula unit. The value obtained for the density of states at the Fermi level is 2.7 states/eV/f.u. Its final energy is -5.80 eV per atom.


(2)
A plane-wave DFT calculation with GGA-PBE was carried out for a relaxed Er5In4Sn crystal.

```
data_Er5In4Sn
_chemical_formula_sum 'Er5 In4 Sn1'
_symmetry_space_group_name_H-M 'P 4/m m m'
_symmetry_Int_Tables_number 123
_symmetry_space_group_name_Hall '-P 4 2'
_cell_length_a 3.547
_cell_length_b 3.547
_cell_length_c 20.675
_cell_angle_alpha 90.00
_cell_angle_beta 90.00
_cell_angle_gamma 90.00
loop_
_atom_site_label
_atom_site_type_symbol
_atom_site_fract_x
_atom_site_fract_y
_atom_site_fract_z
Er1 Er 0.000 0.000 0.000
Er2 Er 0.000 0.000 0.200
Er3 Er 0.000 0.000 0.400
In1 In 0.500 0.500 0.100
In2 In 0.500 0.500 0.299
Sn1 Sn 0.500 0.500 0.500
```

Results
The formation energy comes out at -45 kJ per mole of atoms. The value obtained for the density of states at the Fermi level is 5.8 states/eV/f.u. Its final energy is -4.24 eV per atom.


(3)
A plane-wave DFT calculation with GGA-PBE was carried out for a relaxed TmPaAgRu crystal.

```
data_TmPaAgRu
_chemical_formula_sum 'Tm4 Pa4 Ag4 Ru4'
_symmetry_space_group_name_H-M 'F -4 3 m'
_symmetry_Int_Tables_number 216
_symmetry_space_group_name_Hall 'F -4 2 3'
_cell_length_a 6.999
_cell_length_b 6.999
_cell_length_c 6.999
_cell_angle_alpha 90.00
_cell_angle_beta 90.00
_cell_angle_gamma 90.00
loop_
_atom_site_label
_atom_site_type_symbol
_atom_site_fract_x
_atom_site_fract_y
_atom_site_fract_z
Tm1 Tm 0.000 0.000 0.000
Pa1 Pa 0.000 0.000 0.500
Ag1 Ag 0.250 0.250 0.750
Ru1 Ru 0.250 0.250 0.250
```

Results
The formation energy comes out at -14 kJ per mole of atoms. The value obtained for the density of states at the Fermi level is 4.6 states/eV/f.u. Its final energy is -6.67 eV per atom.